[1]
An optimized crystal structure of SrBe2Tl. Source: Alexandria via LeMat-Bulk, functional PBEsol.

Structure (POSCAR):
```
SrBe2Tl
1.0
3.9715 0.0000 0.0000
0.0000 2.0128 5.2390
0.0000 -2.0128 5.2390
Sr Be Tl
1 2 1
Cartesian
0.0000 0.0000 0.0000
0.0000 0.0000 7.4319
1.9857 0.0000 6.7848
1.9857 0.0000 3.0657
```

Properties
SG: Amm2 (38)
Theoretical density, Mg/m³: 6.15
Distance to the lowest polymorph of the same formula, eV per atom: 0.028
ΔE_f, eV/atom: 0.24
Magnetization, μB per cell: 0.00



[2]
An optimized crystal structure of SrBeTl2. Source: Alexandria via LeMat-Bulk, functional PBEsol.

Structure (POSCAR):
```
SrBeTl2
1.0
2.5888 -2.5945 0.0000
2.5888 2.5945 0.0000
0.0000 0.0000 7.4917
Sr Be Tl
1 1 2
Cartesian
0.0000 0.0000 0.0000
2.5888 0.0000 2.2449
0.0000 0.0000 3.2316
2.5888 0.0000 5.1893
```

Properties
SG: Cmm2 (35)
Theoretical density, Mg/m³: 8.34
Distance to the lowest polymorph of the same formula, eV per atom: 0.047
ΔE_f, eV/atom: 0.17
Magnetization, μB per cell: 0.00



[3]
An optimized crystal structure of Sr2BeTl. Source: Alexandria via LeMat-Bulk, functional PBEsol.

Structure (POSCAR):
```
Sr2BeTl
1.0
-2.4073 2.4073 4.8765
2.4073 -2.4073 4.8765
2.4073 2.4073 -4.8765
Sr Be Tl
2 1 1
Cartesian
0.0000 0.0000 0.0000
0.0000 2.4073 2.4382
2.4073 0.0000 2.4382
0.0000 0.0000 4.8765
```

Properties
SG: I-4m2 (119)
Theoretical density, Mg/m³: 5.71
Distance to the lowest polymorph of the same formula, eV per atom: 0.203
ΔE_f, eV/atom: 0.25
Magnetization, μB per cell: 0.00